This record from Alexandria via LeMat-Bulk describes Ce10Sn3Sb3 after structural relaxation. The functional is PBE.

```
data_Ce10Sn3Sb3
_space_group_name_H-M_alt 'P 1'
_space_group_IT_number 1
_space_group_name_Hall 'P 1'
_cell_length_a 9.3650
_cell_length_b 9.3650
_cell_length_c 6.3718
_cell_angle_alpha 90.00
_cell_angle_beta 90.00
_cell_angle_gamma 120.00
loop_
_atom_site_label
_atom_site_type_symbol
_atom_site_fract_x
_atom_site_fract_y
_atom_site_fract_z
_atom_site_occupancy
Ce1 Ce 0.0000 0.2579 0.0000 1
Ce2 Ce 0.0000 0.7410 0.5000 1
Ce3 Ce 0.2579 0.0000 0.0000 1
Ce4 Ce 0.2590 0.2590 0.5000 1
Ce5 Ce 0.3333 0.6667 0.2431 1
Ce6 Ce 0.3333 0.6667 0.7569 1
Ce7 Ce 0.6667 0.3333 0.2431 1
Ce8 Ce 0.6667 0.3333 0.7569 1
Ce9 Ce 0.7410 0.0000 0.5000 1
Ce10 Ce 0.7421 0.7421 0.0000 1
Sn1 Sn 0.0000 0.3839 0.5000 1
Sn2 Sn 0.3839 0.0000 0.5000 1
Sn3 Sn 0.6161 0.6161 0.5000 1
Sb1 Sb 0.0000 0.6175 0.0000 1
Sb2 Sb 0.3825 0.3825 0.0000 1
Sb3 Sb 0.6175 0.0000 0.0000 1
```

Properties
Formation energy without anion corrections, kcal/mol of atoms: -14.95
D(E_F), states/eV/cell: 57.21
Space group: P-62m
DFT total energy, Ry per atom: -0.432
Total moment, μB/atom: 0.735